Entry 1:
# PBE Mn4GeS8, optimized geometry
data_Mn4GeS8
_chemical_formula_sum 'Mn4 Ge1 S8'
_space_group_name_H-M_alt 'P 1'
_space_group_IT_number 1
_space_group_name_Hall 'P 1'
_cell_length_a 7.2450
_cell_length_b 7.2450
_cell_length_c 7.2450
_cell_angle_alpha 56.06
_cell_angle_beta 56.06
_cell_angle_gamma 56.06
loop_
_atom_site_label
_atom_site_fract_x
_atom_site_fract_y
_atom_site_fract_z
S1 0.2457 0.7292 0.2457
S2 0.7292 0.2457 0.2457
S3 0.2629 0.2629 0.2629
S4 0.7543 0.7543 0.2708
S5 0.7371 0.7371 0.7371
S6 0.7543 0.2708 0.7543
S7 0.2708 0.7543 0.7543
S8 0.2457 0.2457 0.7292
Mn1 0.5000 0.0000 0.5000
Mn2 0.5000 0.5000 0.0000
Mn3 0.0000 0.0000 0.0000
Mn4 0.0000 0.5000 0.5000
Ge1 0.5000 0.5000 0.5000
# E_tot = -80.8 eV per cell
# Crystal system = trigonal
# Space-group type = R-3m, No. 166
# Uncorrected formation energy = -0.4995 eV/atom
# D(E_F) = 6.06 states/eV per cell

Entry 2:
# PBE MnGe2S6, optimized geometry
data_MnGe2S6
_chemical_formula_sum 'Mn2 Ge4 S12'
_space_group_name_H-M_alt 'P 1'
_space_group_IT_number 1
_space_group_name_Hall 'P 1'
_cell_length_a 6.2491
_cell_length_b 7.8023
_cell_length_c 7.8023
_cell_angle_alpha 85.06
_cell_angle_beta 82.18
_cell_angle_gamma 82.18
loop_
_atom_site_label
_atom_site_fract_x
_atom_site_fract_y
_atom_site_fract_z
Ge1 0.1629 0.6103 0.7756
Ge2 0.8371 0.3897 0.2244
Ge3 0.6629 0.7756 0.6103
Ge4 0.3371 0.2244 0.3897
Mn1 0.2500 0.1061 0.8939
Mn2 0.7500 0.8939 0.1061
S1 0.3885 0.0280 0.1800
S2 0.3543 0.7106 0.5299
S3 0.1395 0.1169 0.6266
S4 0.1457 0.4701 0.2894
S5 0.8605 0.8831 0.3734
S6 0.8885 0.1800 0.0280
S7 0.8543 0.5299 0.7106
S8 0.6115 0.9720 0.8200
S9 0.1115 0.8200 0.9720
S10 0.6395 0.6266 0.1169
S11 0.6457 0.2894 0.4701
S12 0.3605 0.3734 0.8831
# E_tot = -90.7 eV per cell
# Crystal system = monoclinic
# Space-group type = C2/c, No. 15
# Uncorrected formation energy = -0.2412 eV/atom
# D(E_F) = 7.16 states/eV per cell

Entry 3:
# PBE MnGe3S, optimized geometry
data_MnGe3S
_chemical_formula_sum 'Mn1 Ge3 S1'
_space_group_name_H-M_alt 'P 1'
_space_group_IT_number 1
_space_group_name_Hall 'P 1'
_cell_length_a 4.6421
_cell_length_b 4.6421
_cell_length_c 4.6421
_cell_angle_alpha 90.00
_cell_angle_beta 90.00
_cell_angle_gamma 90.00
loop_
_atom_site_label
_atom_site_fract_x
_atom_site_fract_y
_atom_site_fract_z
Ge1 0.0000 0.5000 0.0000
Ge2 0.0000 0.0000 0.5000
Ge3 0.5000 0.0000 0.0000
S1 0.5000 0.5000 0.5000
Mn1 0.0000 0.0000 0.0000
# E_tot = -26.2 eV per cell
# Crystal system = cubic
# Space-group type = Pm-3m, No. 221
# Uncorrected formation energy = 0.1995 eV/atom
# D(E_F) = 5.47 states/eV per cell

> D(E_F) of number 3 (MnGe3S)?

5.47 states/eV per cell

> Among the records above, which one has the lowest uncorrected formation energy?

Mn4GeS8

> What is the E_tot in the first record?

-80.8 eV per cell

> Which value of E_tot does entry 3 give?

-26.2 eV per cell